*1*
This record from the Alexandria database describes Zr3CuSn after structural relaxation. The functional is PBE.

a = 5.4261 Å, b = 6.8124 Å, c = 6.8124 Å
α = 120.00°, β = 90.00°, γ = 90.00°
With the nearest neighbours (Å) after each atom.
Positions (direct):
Zr (0.2500, 0.8140, 0.1860)  2 Cu 2.58
Zr (0.7500, 0.1860, 0.8140)  2 Cu 2.58
Zr (0.2500, 0.8139, 0.6281)  2 Cu 2.58
Zr (0.7500, 0.1861, 0.3719)  2 Cu 2.58
Zr (0.2500, 0.3719, 0.1861)  2 Cu 2.58
Zr (0.7500, 0.6281, 0.8139)  2 Cu 2.58
Cu (0.0000, 0.0000, 0.0000)  6 Zr 2.58, 2 Cu 2.71
Cu (0.5000, 0.0000, 0.0000)  6 Zr 2.58, 2 Cu 2.71
Sn (0.2500, 0.3335, 0.6665)  12 Zr 3.22-3.42
Sn (0.7500, 0.6665, 0.3335)  12 Zr 3.22-3.42

The space-group type is P6_3/mmc (194). As for the crystal system: hexagonal.

*2*
This record from the Alexandria database describes Zr3CuSn after structural relaxation. The functional is PBE.

a = 4.9118 Å, b = 4.9118 Å, c = 4.9118 Å
α = 90.00°, β = 90.00°, γ = 90.00°
With the nearest neighbours (Å) after each atom.
Positions (direct):
Cu (0.0000, 0.0000, 0.0000)  6 Zr 2.46
Sn (0.5000, 0.5000, 0.5000)  12 Zr 3.47
Zr (0.0000, 0.5000, 0.0000)  2 Cu 2.46
Zr (0.0000, 0.0000, 0.5000)  2 Cu 2.46
Zr (0.5000, 0.0000, 0.0000)  2 Cu 2.46

The space-group type is Pm-3m (221). As for the crystal system: cubic.

Stability, highest: *1*

*1*
This record from the Alexandria database describes ZrCuSn3 after structural relaxation. The functional is PBE.

a = 5.5580 Å, b = 5.5580 Å, c = 5.5580 Å
α = 90.00°, β = 90.00°, γ = 90.00°
With the nearest neighbours (Å) after each atom.
Positions (direct):
Cu (0.5000, 0.5000, 0.5000)  12 Sn 3.93
Sn (0.0000, 0.5000, 0.0000)  2 Zr 2.78
Sn (0.0000, 0.0000, 0.5000)  2 Zr 2.78
Sn (0.5000, 0.0000, 0.0000)  2 Zr 2.78
Zr (0.0000, 0.0000, 0.0000)  6 Sn 2.78

The space-group type is Pm-3m (221). As for the crystal system: cubic.

*2*
This record from the Alexandria database describes ZrCuSn3 after structural relaxation. The functional is PBE.

a = 5.0196 Å, b = 5.0196 Å, c = 5.0196 Å
α = 90.00°, β = 90.00°, γ = 90.00°
With the nearest neighbours (Å) after each atom.
Positions (direct):
Cu (0.0000, 0.0000, 0.0000)  6 Sn 2.51
Sn (0.0000, 0.5000, 0.0000)  2 Cu 2.51
Sn (0.0000, 0.0000, 0.5000)  2 Cu 2.51
Sn (0.5000, 0.0000, 0.0000)  2 Cu 2.51
Zr (0.5000, 0.5000, 0.5000)  12 Sn 3.55

The space-group type is Pm-3m (221). As for the crystal system: cubic.

Stability, highest: *2*

*1*
This record from the Alexandria database describes Sr2TaCu after structural relaxation. The functional is PBE.

a = 8.7155 Å, b = 8.7155 Å, c = 6.8861 Å
α = 50.74°, β = 50.74°, γ = 90.00°
With the nearest neighbours (Å) after each atom.
Positions (direct):
Sr (0.5728, 0.1250, 0.2500)  2 Cu 2.88, 2 Sr 3.20
Sr (0.1772, 0.6250, 0.2500)  2 Cu 2.88, 2 Sr 3.20
Sr (0.3750, 0.4272, 0.7500)  2 Cu 2.88, 2 Sr 3.20
Sr (0.8750, 0.8228, 0.7500)  2 Cu 2.88, 2 Sr 3.20
Cu (0.5000, 0.5000, 0.0000)  4 Sr 2.88, 2 Ta 3.07
Cu (0.2500, 0.7500, 0.5000)  4 Sr 2.88, 2 Ta 3.07
Ta (0.0000, 0.0000, 0.0000)  2 Cu 3.07
Ta (0.7500, 0.2500, 0.5000)  2 Cu 3.07

The space-group type is I-42d (122). As for the crystal system: tetragonal.

*2*
This record from the Alexandria database describes Sr2TaCu after structural relaxation. The functional is PBE.

a = 5.7678 Å, b = 5.7678 Å, c = 3.3868 Å
α = 89.98°, β = 89.98°, γ = 92.28°
With the nearest neighbours (Å) after each atom.
Positions (direct):
Cu (0.0000, 0.5000, 0.5000)  8 Sr 3.34, 2 Cu 3.39
Sr (0.0000, 0.0000, 0.0000)  4 Cu 3.34, 4 Ta 3.34, 2 Sr 3.39
Sr (0.5000, 0.5000, 0.0000)  4 Ta 3.34, 4 Cu 3.34, 2 Sr 3.39
Ta (0.5000, 0.0000, 0.5000)  8 Sr 3.34, 2 Ta 3.39

The space-group type is Cmmm (65). As for the crystal system: orthorhombic.

*3*
This record from the Alexandria database describes Sr2TaCu after structural relaxation. The functional is PBE.

a = 5.8199 Å, b = 5.8199 Å, c = 5.8199 Å
α = 130.47°, β = 130.47°, γ = 72.66°
With the nearest neighbours (Å) after each atom.
Positions (direct):
Cu (0.7500, 0.2500, 0.5000)  8 Sr 3.38, 4 Ta 3.45
Sr (0.0000, 0.0000, 0.0000)  4 Cu 3.38, 4 Ta 3.38, 4 Sr 3.45
Sr (0.5000, 0.5000, 0.0000)  4 Ta 3.38, 4 Cu 3.38, 4 Sr 3.45
Ta (0.2500, 0.7500, 0.5000)  8 Sr 3.38, 4 Cu 3.45

The space-group type is I4/mmm (139). As for the crystal system: tetragonal.

Stability, highest: *2*

*1*
This record from the Alexandria database describes Sr2TaCu after structural relaxation. The functional is PBE.

a = 9.4990 Å, b = 9.4990 Å, c = 3.8973 Å
α = 78.15°, β = 78.15°, γ = 21.20°
With the nearest neighbours (Å) after each atom.
Positions (direct):
Cu (0.7500, 0.7500, 0.7500)  4 Ta 2.62
Sr (0.0988, 0.0988, 0.9012)  2 Cu 3.27, 2 Ta 3.38, 2 Sr 3.49
Sr (0.4012, 0.4012, 0.5988)  2 Cu 3.27, 2 Ta 3.38, 2 Sr 3.49
Ta (0.2500, 0.2500, 0.2500)  4 Cu 2.62

The space-group type is Immm (71). As for the crystal system: orthorhombic.

*2*
This record from the Alexandria database describes Sr2TaCu after structural relaxation. The functional is PBE.

a = 3.4472 Å, b = 3.4472 Å, c = 9.5005 Å
α = 90.00°, β = 90.00°, γ = 90.00°
With the nearest neighbours (Å) after each atom.
Positions (direct):
Cu (0.5000, 0.5000, 0.6879)  4 Ta 2.67
Sr (0.0000, 0.0000, 0.9262)  4 Cu 3.33, 1 Ta 3.35, 4 Sr 3.45
Sr (0.5000, 0.5000, 0.3127)  4 Sr 3.45, 4 Ta 3.47, 1 Cu 3.57
Ta (0.0000, 0.0000, 0.5733)  4 Cu 2.67

The space-group type is P4mm (99). As for the crystal system: tetragonal.

*3*
This record from the Alexandria database describes Sr2TaCu after structural relaxation. The functional is PBE.

a = 10.4493 Å, b = 10.4493 Å, c = 10.4493 Å
α = 19.14°, β = 19.14°, γ = 19.14°
With the nearest neighbours (Å) after each atom.
Positions (direct):
Cu (0.7500, 0.7500, 0.7500)  6 Sr 3.13, 6 Cu 3.47
Sr (0.0051, 0.0051, 0.0051)  3 Cu 3.13, 3 Ta 3.38, 6 Sr 3.47
Sr (0.4949, 0.4949, 0.4949)  3 Cu 3.13, 3 Ta 3.38, 6 Sr 3.47
Ta (0.2500, 0.2500, 0.2500)  6 Sr 3.38, 6 Ta 3.47

The space-group type is R-3m (166). As for the crystal system: trigonal.

*4*
This record from the Alexandria database describes Sr2TaCu after structural relaxation. The functional is PBE.

a = 4.6312 Å, b = 3.7503 Å, c = 7.1297 Å
α = 74.74°, β = 90.00°, γ = 90.00°
With the nearest neighbours (Å) after each atom.
Positions (direct):
Cu (0.5000, 0.5877, 0.7026)  2 Ta 2.56
Sr (0.0000, 0.9730, 0.9289)  2 Ta 3.24-3.25, 4 Cu 3.36
Sr (0.5000, 0.2746, 0.3251)  2 Cu 3.20-3.21, 4 Ta 3.34
Ta (0.0000, 0.6647, 0.5434)  2 Cu 2.56

The space-group type is Pm (6). As for the crystal system: monoclinic.

Stability, highest: *2*